# 1
# SrO3F (PBE-GGA, optimized geometry)
# **Volume**: 19.6 A^3/atom
# **M_tot**: 5.0 μB per cell
# **E_form (uncorrected)**: 0.0748 eV per atom
data_SrO3F
_chemical_formula_sum 'Sr1 O3 F1'
_cell_length_a 4.614
_cell_length_b 4.614
_cell_length_c 4.614
_cell_angle_alpha 90.00
_cell_angle_beta 90.00
_cell_angle_gamma 90.00
_space_group_name_H-M_alt 'P 1'
_space_group_IT_number 1
_space_group_name_Hall 'P 1'
loop_
_atom_site_label
_atom_site_type_symbol
_atom_site_fract_x
_atom_site_fract_y
_atom_site_fract_z
Sr1 Sr 0.000 0.000 0.000
O1 O 0.000 0.500 0.000
O2 O 0.000 0.000 0.500
O3 O 0.500 0.000 0.000
F1 F 0.500 0.500 0.500

# 2
# AcPr3Rh2 (PBE-GGA, optimized geometry)
# **Volume**: 32.1 A^3/atom
# **M_tot**: 0.0 μB per cell
# **ΔE to the lowest computed polymorph**: 0 meV per atom
# **Calculated formation energy**: -487 meV/atom
data_AcPr3Rh2
_chemical_formula_sum 'Ac2 Pr6 Rh4'
_cell_length_a 4.330
_cell_length_b 8.918
_cell_length_c 10.850
_cell_angle_alpha 73.46
_cell_angle_beta 78.49
_cell_angle_gamma 75.95
_space_group_name_H-M_alt 'P 1'
_space_group_IT_number 1
_space_group_name_Hall 'P 1'
loop_
_atom_site_label
_atom_site_type_symbol
_atom_site_fract_x
_atom_site_fract_y
_atom_site_fract_z
Ac1 Ac 0.444 0.400 0.712
Ac2 Ac 0.556 0.600 0.288
Pr1 Pr 0.077 0.019 0.827
Pr2 Pr 0.923 0.981 0.173
Pr3 Pr 0.711 0.667 0.911
Pr4 Pr 0.289 0.333 0.089
Pr5 Pr 0.823 0.814 0.539
Pr6 Pr 0.177 0.186 0.461
Rh1 Rh 0.881 0.323 0.914
Rh2 Rh 0.119 0.677 0.086
Rh3 Rh 0.633 0.089 0.645
Rh4 Rh 0.367 0.911 0.355